Entry 1:
A relaxed structure of HfFe2TcSn. Source: the Alexandria database, functional PBE.

Cell lengths 4.444, 4.965, 4.444 Å; angles 90.00, 90.00, 90.00 degrees
Atoms (fractional coordinates):
Fe1 0.000 0.000 0.500
Fe2 0.500 0.000 0.000
Hf1 0.000 0.500 0.000
Sn1 0.500 0.500 0.500
Tc1 0.000 0.000 0.000

Calculated values
The calculation puts the formation energy at 98.3 kJ/mol of atoms.



Entry 2:
A relaxed structure of HfFeSn2Te. Source: the Alexandria database, functional PBE.

Cell lengths 5.643, 4.480, 5.643 Å; angles 90.00, 90.00, 90.00 degrees
Atoms (fractional coordinates):
Te1 0.000 0.000 0.000
Hf1 0.500 0.500 0.500
Sn1 0.000 0.000 0.500
Sn2 0.500 0.000 0.000
Fe1 0.000 0.500 0.000

Calculated values
The raw formation energy comes out at 6.15 eV per formula unit.